1.
A geometry-optimized TbGdY structure. Source: Alexandria, functional PBE-GGA.

Lattice parameters (Å, degrees): 3.5813 3.5813 7.9664 102.99 102.99 90.00
Last column: magnetic moment on the atom in μB.
Element x y z (fractional)
Y1 0.0015 0.0015 0.0030  -0.06
Tb1 0.6662 0.6662 0.3324  -0.07
Gd1 0.3323 0.3323 0.6646  7.20

formation enthalpy at 0 K	0.021	eV/atom
DOS(E_F)	4.815	states/eV/f.u.
SG	I4mm, No. 107
total DFT energy (no corrections)	-8.37	eV per atom

2.
A geometry-optimized Tb2CePaP4 structure. Source: Alexandria, functional PBE-GGA.

Lattice parameters (Å, degrees): 4.0262 6.9775 6.9471 109.49 90.00 90.00
Last column: magnetic moment on the atom in μB.
Element x y z (fractional)
Pa1 0.5000 0.5000 0.0000  0.06
P1 0.0000 0.2562 0.7539  0.00
P2 0.5000 0.7449 0.7518  -0.01
P3 0.5000 0.2551 0.2482  -0.01
P4 0.0000 0.7438 0.2461  0.00
Tb1 0.0000 0.5000 0.5000  0.01
Tb2 0.5000 0.0000 0.5000  0.00
Ce1 0.0000 0.0000 0.0000  0.37

formation enthalpy at 0 K	-1.512	eV/atom
DOS(E_F)	8.400	states/eV/f.u.
SG	P2/m, No. 10
total DFT energy (no corrections)	-7.30	eV per atom

3.
A geometry-optimized Tl2CuAgS4 structure. Source: Alexandria, functional PBE-GGA.

Lattice parameters (Å, degrees): 5.8874 5.8874 7.0607 114.63 114.63 90.02
Element x y z (fractional)
S1 0.8422 0.3795 0.2217
S2 0.1577 0.1577 0.7783
S3 0.3795 0.8422 0.2217
S4 0.6205 0.6205 0.7783
Tl1 0.7500 0.2500 0.5001
Tl2 0.2500 0.7500 0.5001
Ag1 0.0002 0.0002 0.0004
Cu1 0.5001 0.5001 0.0001

DOS(E_F)	0.803	states/eV/f.u.
SG	I-42m, No. 121
total DFT energy (no corrections)	-3.71	eV per atom
ΔE_f (raw)	-0.183	eV per atom